First-principles (PBE) data for Sc2InB2 after structural relaxation, as listed in the Alexandria database.

Cell lengths 7.345, 7.345, 2.978 Å; angles 90.00, 90.00, 90.00 degrees
Atoms (fractional coordinates):
Sc  0.366  0.866  0.000
Sc  0.866  0.634  0.000
Sc  0.634  0.134  0.000
Sc  0.134  0.366  0.000
B  0.177  0.677  0.500
B  0.677  0.823  0.500
B  0.823  0.323  0.500
B  0.323  0.177  0.500
In  0.000  0.000  0.000
In  0.500  0.500  0.000

Properties
ΔH_f (0 K) = 0.37 eV per atom
Theoretical density = 4.679 g/cm³
E = -5.3799 eV/atom
ΔE to the lowest computed polymorph = 0.00 eV/f.u.